#w
Crystalline RbSi3Br at its relaxed geometry, computed with PBE.

Calculated values
M_tot ... 0.00 μB per atom

a b c (Å): 5.270 5.270 5.270
angles (deg): 90.00 90.00 90.00
Positions (direct):
Si 0.000 0.500 0.000
Si 0.000 0.000 0.500
Si 0.500 0.000 0.000
Br 0.000 0.000 0.000
Rb 0.500 0.500 0.500

---

#x
Crystalline RbSi3Br at its relaxed geometry, computed with PBE.

Calculated values
M_tot ... 0.80 μB per atom

a b c (Å): 6.058 6.058 6.058
angles (deg): 90.00 90.00 90.00
Last column: magnetic moment on the atom in μB.
Positions (direct):
Si 0.000 0.500 0.000  0.39
Si 0.000 0.000 0.500  0.26
Si 0.500 0.000 0.000  0.40
Br 0.500 0.500 0.500  0.21
Rb 0.000 0.000 0.000  0.13

---

Energetically preferred structure: #w | next structure: +98.4 kJ/mol of atoms

---

#w
Crystalline RbSn2Br2 at its relaxed geometry, computed with PBE.

Calculated values
M_tot ... 0.00 μB per atom

a b c (Å): 6.153 6.153 6.630
angles (deg): 62.35 62.35 90.00
Positions (direct):
Br 0.750 0.250 0.500
Br 0.250 0.750 0.500
Sn 0.351 0.351 0.299
Sn 0.649 0.649 0.701
Rb 0.000 0.000 0.000

---

#x
Crystalline RbSn2Br2 at its relaxed geometry, computed with PBE.

Calculated values
M_tot ... 0.00 μB per atom

a b c (Å): 9.652 9.652 3.982
angles (deg): 90.00 90.00 90.00
Positions (direct):
Br 0.170 0.670 0.500
Br 0.670 0.830 0.500
Br 0.830 0.330 0.500
Br 0.330 0.170 0.500
Sn 0.398 0.898 0.000
Sn 0.898 0.602 0.000
Sn 0.602 0.102 0.000
Sn 0.102 0.398 0.000
Rb 0.000 0.000 0.000
Rb 0.500 0.500 0.000

---

Energetically preferred structure: #w | next structure: +11.7 kJ/mol of atoms